Cs2MnSiCl6 | GGA-PBE | optimized geometry

a = 7.3494 Å, b = 7.3494 Å, c = 7.3503 Å
α = 60.00°, β = 60.00°, γ = 90.00°
Last column: nearest neighbours and their distance in Å.
Sites, in units of the cell vectors:
Cs 0.2500 0.7500 0.5000  12 Cl 3.67-3.68
Si 0.5000 0.5000 0.0000  6 Cl 2.64
Cl 0.2463 0.2463 0.5074  1 Mn 2.56, 1 Si 2.64
Mn 0.0000 0.0000 0.0000  6 Cl 2.56
Cl 0.2463 0.2463 0.0000  1 Mn 2.56, 1 Si 2.64
Cl 0.7537 0.7537 0.4926  1 Mn 2.56, 1 Si 2.64
Cs 0.7500 0.2500 0.5000  12 Cl 3.67-3.68
Cl 0.7537 0.2463 0.0000  1 Mn 2.56, 1 Si 2.64
Cl 0.7537 0.7537 0.0000  1 Mn 2.56, 1 Si 2.64
Cl 0.2463 0.7537 0.0000  1 Mn 2.56, 1 Si 2.64

## Properties
Energy relative to the elements, uncorrected: -1.31 eV/atom


V4HS3 | GGA-PBE | optimized geometry

a = 4.2854 Å, b = 6.6457 Å, c = 8.6083 Å
α = 90.00°, β = 90.00°, γ = 90.00°
Last column: nearest neighbours and their distance in Å.
Sites, in units of the cell vectors:
S 0.5644 0.2592 0.7740  5 V 2.31-2.47
V 0.0640 0.9293 0.5000  2 H 2.16-2.17, 2 S 2.31
H 0.0650 0.1127 0.0000  1 V 1.77
S 0.0644 0.3006 0.5000  5 V 2.36-2.47
S 0.5644 0.2592 0.2260  5 V 2.31-2.47
V 0.5644 0.8887 0.2457  1 H 2.19, 2 S 2.37, 1 V 2.44
V 0.5644 0.8887 0.7543  1 H 2.19, 2 S 2.37, 1 V 2.44
V 0.0644 0.1113 0.2543  1 H 2.19, 2 S 2.37, 1 V 2.44
V 0.5640 0.0707 0.0000  2 H 2.16-2.17, 2 S 2.31
V 0.0644 0.8469 0.0000  1 H 1.77
H 0.5650 0.8873 0.5000  1 V 1.77
S 0.5644 0.6994 0.0000  5 V 2.36-2.47
S 0.0644 0.7408 0.7260  5 V 2.31-2.47
V 0.0644 0.1113 0.7457  1 H 2.19, 2 S 2.37, 1 V 2.44
V 0.5644 0.1531 0.5000  1 H 1.77
S 0.0644 0.7408 0.2740  5 V 2.31-2.47

## Properties
Raw total energy: -114.14 eV/cell


Be2POs | GGA-PBE | optimized geometry

a = 3.9607 Å, b = 3.9607 Å, c = 3.9607 Å
α = 60.00°, β = 60.00°, γ = 60.00°
Last column: nearest neighbours and their distance in Å.
Sites, in units of the cell vectors:
Be 0.2500 0.2500 0.2500  4 Os 2.43, 4 Be 2.43
P 0.7500 0.7500 0.7500  4 Be 2.43, 4 Os 2.43
Os 0.5000 0.5000 0.5000  4 Be 2.43, 4 P 2.43
Be 0.0000 0.0000 0.0000  4 Be 2.43, 4 P 2.43

## Properties
Energy of formation from the pure elements: 0.204 eV/atom


CsBa2TlRh | GGA-PBE | optimized geometry

a = 6.1489 Å, b = 6.1489 Å, c = 5.5663 Å
α = 90.00°, β = 90.00°, γ = 90.00°
Last column: nearest neighbours and their distance in Å.
Sites, in units of the cell vectors:
Tl 0.0000 0.0000 0.5000  2 Rh 2.78
Ba 0.5000 0.0000 0.0000  2 Rh 3.07
Ba 0.0000 0.5000 0.0000  2 Rh 3.07
Cs 0.5000 0.5000 0.5000  8 Ba 4.15, 4 Tl 4.35
Rh 0.0000 0.0000 0.0000  2 Tl 2.78, 4 Ba 3.07

## Properties
Energy of formation from the pure elements: -0.101 eV/atom


Ba2Zn3HgAu4 | GGA-PBE | optimized geometry

a = 4.8049 Å, b = 4.8049 Å, c = 10.6523 Å
α = 90.00°, β = 90.00°, γ = 90.00°
Last column: nearest neighbours and their distance in Å.
Sites, in units of the cell vectors:
Zn 0.5000 0.0000 0.8907  5 Au 2.61-2.67
Au 0.5000 0.0000 0.6453  3 Zn 2.61-2.86, 2 Hg 2.86
Ba 0.0000 0.5000 0.7594  8 Au 3.51-3.61, 2 Hg 3.66, 7 Zn 3.66-3.73
Zn 0.0000 0.0000 0.5000  4 Au 2.86
Zn 0.0000 0.5000 0.1093  5 Au 2.61-2.67
Au 0.0000 0.5000 0.3547  3 Zn 2.61-2.86, 2 Hg 2.86
Au 0.5000 0.5000 0.0000  4 Zn 2.67
Au 0.0000 0.0000 0.0000  4 Zn 2.67
Hg 0.5000 0.5000 0.5000  4 Au 2.86
Ba 0.5000 0.0000 0.2406  8 Au 3.51-3.61, 2 Hg 3.66, 7 Zn 3.66-3.73

## Properties
Energy of formation from the pure elements: -0.483 eV/atom


Rb3Y2PaS6 | GGA-PBE | optimized geometry

a = 7.0595 Å, b = 7.0595 Å, c = 8.0685 Å
α = 98.38°, β = 98.38°, γ = 119.99°
Last column: nearest neighbours and their distance in Å.
Sites, in units of the cell vectors:
S 0.7344 0.7344 0.1944  1 Pa 2.77, 2 Y 2.80
Y 0.3335 0.6665 0.0000  6 S 2.80
Rb 0.8317 0.1683 0.5000  6 S 3.33-3.34
S 0.3951 0.0646 0.1940  1 Pa 2.77, 2 Y 2.80
Pa 0.0000 0.0000 0.0000  6 S 2.77
Rb 0.1683 0.8317 0.5000  6 S 3.33-3.34
Y 0.6665 0.3335 0.0000  6 S 2.80
S 0.6049 0.9354 0.8060  1 Pa 2.77, 2 Y 2.80
S 0.9354 0.6049 0.8060  1 Pa 2.77, 2 Y 2.80
S 0.0646 0.3951 0.1940  1 Pa 2.77, 2 Y 2.80
Rb 0.5000 0.5000 0.5000  6 S 3.33-3.35
S 0.2656 0.2656 0.8056  1 Pa 2.77, 2 Y 2.80

## Properties
Energy relative to the elements, uncorrected: -1.70 eV/atom


Ca2AlSe | GGA-PBE | optimized geometry

a = 5.5208 Å, b = 5.5208 Å, c = 5.5208 Å
α = 127.67°, β = 127.67°, γ = 77.17°
Last column: nearest neighbours and their distance in Å.
Sites, in units of the cell vectors:
Ca 0.5000 0.5000 0.0000  4 Al 3.25, 4 Se 3.25, 4 Ca 3.44
Ca 0.0000 0.0000 0.0000  4 Se 3.25, 4 Al 3.25, 4 Ca 3.44
Se 0.2500 0.7500 0.5000  8 Ca 3.25, 4 Al 3.44
Al 0.7500 0.2500 0.5000  8 Ca 3.25, 4 Se 3.44

## Properties
Polymorph energy (0 for the lowest one): 271 meV/atom
Energy relative to the elements, uncorrected: -0.61 eV/atom


BiAs2IrSe | GGA-PBE | optimized geometry

a = 4.7322 Å, b = 4.7322 Å, c = 5.3965 Å
α = 90.00°, β = 90.00°, γ = 90.00°
Last column: nearest neighbours and their distance in Å.
Sites, in units of the cell vectors:
Se 0.0000 0.0000 0.5000  2 Ir 2.70
Ir 0.0000 0.0000 0.0000  4 As 2.37
As 0.5000 0.0000 0.0000  2 Ir 2.37
As 0.0000 0.5000 0.0000  2 Ir 2.37
Bi 0.5000 0.5000 0.5000  4 Se 3.35, 8 As 3.59

## Properties
Polymorph energy (0 for the lowest one): 0 meV/atom
Energy relative to the elements, uncorrected: 0.38 eV/atom


KSmGd2 | GGA-PBE | optimized geometry

a = 3.6326 Å, b = 3.6326 Å, c = 13.4754 Å
α = 82.25°, β = 82.25°, γ = 60.00°
Last column: nearest neighbours and their distance in Å.
Sites, in units of the cell vectors:
Sm 0.5000 0.5000 0.5000  6 Gd 3.53, 6 Sm 3.63
Gd 0.0955 0.0955 0.7135  3 Sm 3.53, 6 Gd 3.63, 1 K 3.81
K 0.0000 0.0000 0.0000  6 K 3.63, 2 Gd 3.81
Gd 0.9045 0.9045 0.2865  3 Sm 3.53, 6 Gd 3.63, 1 K 3.81

## Properties
Energy of formation from the pure elements: 0.220 eV/atom


K2NaTeO | GGA-PBE | optimized geometry

a = 5.4944 Å, b = 5.4944 Å, c = 4.6409 Å
α = 90.00°, β = 90.00°, γ = 90.00°
Last column: nearest neighbours and their distance in Å.
Sites, in units of the cell vectors:
K 0.0000 0.5000 0.0000  2 O 2.75
O 0.0000 0.0000 0.0000  2 Na 2.32
K 0.5000 0.0000 0.0000  2 O 2.75
Na 0.0000 0.0000 0.5000  2 O 2.32
Te 0.5000 0.5000 0.5000  8 K 3.60, 4 Na 3.89

## Properties
Energy relative to the elements, uncorrected: -0.92 eV/atom